(1)
A plane-wave DFT calculation with PBE was carried out for a relaxed structure of Tb5NdTm5.

```
data_Tb5NdTm5
_symmetry_space_group_name_H-M 'P -1'
_symmetry_Int_Tables_number 2
_symmetry_space_group_name_Hall '-P 1'
_cell_length_a 6.806
_cell_length_b 6.952
_cell_length_c 8.275
_cell_angle_alpha 76.34
_cell_angle_beta 76.85
_cell_angle_gamma 72.62
loop_
_atom_site_label
_atom_site_type_symbol
_atom_site_fract_x
_atom_site_fract_y
_atom_site_fract_z
Tb1 Tb 0.000 0.000 0.000
Tb2 Tb 0.156 0.131 0.359
Tb3 Tb 0.321 0.268 0.656
Nd1 Nd 0.000 0.500 0.000
Tm1 Tm 0.213 0.639 0.316
Tm2 Tm 0.354 0.753 0.714
Tm3 Tm 0.500 0.000 0.000
```

Formation energy from the elements ... 145 meV/atom
DOS at the Fermi energy ... 1.456 states/eV/atom

(2)
A plane-wave DFT calculation with PBE was carried out for a relaxed structure of Tb12Nd6Tm.

```
data_Tb12Nd6Tm
_symmetry_space_group_name_H-M 'R -3 m'
_symmetry_Int_Tables_number 166
_symmetry_space_group_name_Hall '-R 3 2"'
_cell_length_a 11.1525
_cell_length_b 11.1525
_cell_length_c 17.6772
_cell_angle_alpha 90.00
_cell_angle_beta 90.00
_cell_angle_gamma 120.00
loop_
_atom_site_label
_atom_site_type_symbol
_atom_site_fract_x
_atom_site_fract_y
_atom_site_fract_z
Tb1 Tb 0.0988 0.5494 0.4129
Tb2 Tb 0.1060 0.2120 0.4080
Nd1 Nd 0.0704 0.5352 0.7674
Tm1 Tm 0.0000 0.0000 0.0000
```

Formation energy from the elements ... 125 meV/atom
DOS at the Fermi energy ... 1.546 states/eV/atom

(3)
A plane-wave DFT calculation with PBE was carried out for a relaxed structure of Tb4Nd3Tm.

```
data_Tb4Nd3Tm
_symmetry_space_group_name_H-M 'I m m m'
_symmetry_Int_Tables_number 71
_symmetry_space_group_name_Hall '-I 2 2'
_cell_length_a 3.495
_cell_length_b 11.725
_cell_length_c 13.037
_cell_angle_alpha 90.00
_cell_angle_beta 90.00
_cell_angle_gamma 90.00
loop_
_atom_site_label
_atom_site_type_symbol
_atom_site_fract_x
_atom_site_fract_y
_atom_site_fract_z
Tb1 Tb 0.000 0.245 0.134
Nd1 Nd 0.000 0.000 0.500
Nd2 Nd 0.000 0.500 0.258
Tm1 Tm 0.000 0.000 0.000
```

Formation energy from the elements ... 123 meV/atom
DOS at the Fermi energy ... 1.411 states/eV/atom

(4)
A plane-wave DFT calculation with PBE was carried out for a relaxed structure of TbNd2Tm8.

```
data_TbNd2Tm8
_symmetry_space_group_name_H-M 'C 1 2/m 1'
_symmetry_Int_Tables_number 12
_symmetry_space_group_name_Hall '-C 2y'
_cell_length_a 16.413
_cell_length_b 6.558
_cell_length_c 6.616
_cell_angle_alpha 90.00
_cell_angle_beta 100.17
_cell_angle_gamma 90.00
loop_
_atom_site_label
_atom_site_type_symbol
_atom_site_fract_x
_atom_site_fract_y
_atom_site_fract_z
Tb1 Tb 0.000 0.000 0.000
Nd1 Nd 0.245 0.000 0.311
Tm1 Tm 0.086 0.261 0.401
Tm2 Tm 0.088 0.500 0.905
Tm3 Tm 0.200 0.000 0.802
```

Formation energy from the elements ... 177 meV/atom
DOS at the Fermi energy ... 1.489 states/eV/atom

(5)
A plane-wave DFT calculation with PBE was carried out for a relaxed structure of TbNd6Tm5.

```
data_TbNd6Tm5
_symmetry_space_group_name_H-M 'I m m m'
_symmetry_Int_Tables_number 71
_symmetry_space_group_name_Hall '-I 2 2'
_cell_length_a 5.117
_cell_length_b 10.007
_cell_length_c 15.315
_cell_angle_alpha 90.00
_cell_angle_beta 90.00
_cell_angle_gamma 90.00
loop_
_atom_site_label
_atom_site_type_symbol
_atom_site_fract_x
_atom_site_fract_y
_atom_site_fract_z
Tb1 Tb 0.000 0.000 0.000
Nd1 Nd 0.000 0.249 0.500
Nd2 Nd 0.000 0.251 0.167
Tm1 Tm 0.000 0.000 0.333
Tm2 Tm 0.000 0.500 0.000
Tm3 Tm 0.000 0.500 0.333
```

Formation energy from the elements ... 18 meV/atom
DOS at the Fermi energy ... 1.336 states/eV/atom

(6)
A plane-wave DFT calculation with PBE was carried out for a relaxed structure of TbNd6Tm2.

```
data_TbNd6Tm2
_symmetry_space_group_name_H-M 'C 1 2/c 1'
_symmetry_Int_Tables_number 15
_symmetry_space_group_name_Hall '-C 2yc'
_cell_length_a 16.431
_cell_length_b 11.845
_cell_length_c 6.249
_cell_angle_alpha 90.00
_cell_angle_beta 96.16
_cell_angle_gamma 90.00
loop_
_atom_site_label
_atom_site_type_symbol
_atom_site_fract_x
_atom_site_fract_y
_atom_site_fract_z
Tb1 Tb 0.000 0.100 0.250
Nd1 Nd 0.048 0.360 0.514
Nd2 Nd 0.120 0.141 0.819
Nd3 Nd 0.216 0.141 0.346
Tm1 Tm 0.166 0.400 0.085
```

Formation energy from the elements ... 83 meV/atom
DOS at the Fermi energy ... 1.378 states/eV/atom

(7)
A plane-wave DFT calculation with PBE was carried out for a relaxed structure of Tb2Nd3Tm5.

```
data_Tb2Nd3Tm5
_symmetry_space_group_name_H-M 'C 1 2/c 1'
_symmetry_Int_Tables_number 15
_symmetry_space_group_name_Hall '-C 2yc'
_cell_length_a 10.605
_cell_length_b 15.950
_cell_length_c 9.370
_cell_angle_alpha 90.00
_cell_angle_beta 124.42
_cell_angle_gamma 90.00
loop_
_atom_site_label
_atom_site_type_symbol
_atom_site_fract_x
_atom_site_fract_y
_atom_site_fract_z
Tb1 Tb 0.150 0.118 0.048
Nd1 Nd 0.000 0.265 0.750
Nd2 Nd 0.147 0.376 0.547
Tm1 Tm 0.000 0.028 0.250
Tm2 Tm 0.000 0.228 0.250
Tm3 Tm 0.000 0.474 0.750
Tm4 Tm 0.244 0.112 0.737
```

Formation energy from the elements ... 191 meV/atom
DOS at the Fermi energy ... 1.706 states/eV/atom

(8)
A plane-wave DFT calculation with PBE was carried out for a relaxed structure of TbNd3Tm3.

```
data_TbNd3Tm3
_symmetry_space_group_name_H-M 'R -3'
_symmetry_Int_Tables_number 148
_symmetry_space_group_name_Hall '-R 3'
_cell_length_a 6.1949
_cell_length_b 6.1949
_cell_length_c 43.2361
_cell_angle_alpha 90.00
_cell_angle_beta 90.00
_cell_angle_gamma 120.00
loop_
_atom_site_label
_atom_site_type_symbol
_atom_site_fract_x
_atom_site_fract_y
_atom_site_fract_z
Tb1 Tb 0.0000 0.0000 0.1667
Nd1 Nd 0.0003 0.3310 0.6304
Tm1 Tm 0.0001 0.3335 0.1021
```

Formation energy from the elements ... 174 meV/atom
DOS at the Fermi energy ... 1.613 states/eV/atom

(9)
A plane-wave DFT calculation with PBE was carried out for a relaxed structure of Tb3Nd4Tm4.

```
data_Tb3Nd4Tm4
_symmetry_space_group_name_H-M 'C 1 2/m 1'
_symmetry_Int_Tables_number 12
_symmetry_space_group_name_Hall '-C 2y'
_cell_length_a 39.692
_cell_length_b 3.585
_cell_length_c 5.042
_cell_angle_alpha 90.00
_cell_angle_beta 97.29
_cell_angle_gamma 90.00
loop_
_atom_site_label
_atom_site_type_symbol
_atom_site_fract_x
_atom_site_fract_y
_atom_site_fract_z
Tb1 Tb 0.000 0.000 0.000
Tb2 Tb 0.136 0.500 0.636
Nd1 Nd 0.046 0.500 0.546
Nd2 Nd 0.183 0.000 0.182
Tm1 Tm 0.092 0.000 0.091
Tm2 Tm 0.228 0.500 0.728
```

Formation energy from the elements ... 21 meV/atom
DOS at the Fermi energy ... 1.286 states/eV/atom

(10)
A plane-wave DFT calculation with PBE was carried out for a relaxed structure of Tb5NdTm2.

```
data_Tb5NdTm2
_symmetry_space_group_name_H-M 'C 1 2/m 1'
_symmetry_Int_Tables_number 12
_symmetry_space_group_name_Hall '-C 2y'
_cell_length_a 16.329
_cell_length_b 5.645
_cell_length_c 11.450
_cell_angle_alpha 90.00
_cell_angle_beta 90.03
_cell_angle_gamma 90.00
loop_
_atom_site_label
_atom_site_type_symbol
_atom_site_fract_x
_atom_site_fract_y
_atom_site_fract_z
Tb1 Tb 0.043 0.000 0.387
Tb2 Tb 0.044 0.000 0.113
Tb3 Tb 0.087 0.500 0.921
Tb4 Tb 0.088 0.500 0.578
Tb5 Tb 0.105 0.500 0.250
Nd1 Nd 0.227 0.000 0.250
Tm1 Tm 0.213 0.000 0.579
Tm2 Tm 0.213 0.000 0.921
```

Formation energy from the elements ... 143 meV/atom
DOS at the Fermi energy ... 1.468 states/eV/atom

(11)
A plane-wave DFT calculation with PBE was carried out for a relaxed structure of Tb2NdTm.

```
data_Tb2NdTm
_symmetry_space_group_name_H-M 'I 4/m m m'
_symmetry_Int_Tables_number 139
_symmetry_space_group_name_Hall '-I 4 2'
_cell_length_a 5.062
_cell_length_b 5.062
_cell_length_c 10.078
_cell_angle_alpha 90.00
_cell_angle_beta 90.00
_cell_angle_gamma 90.00
loop_
_atom_site_label
_atom_site_type_symbol
_atom_site_fract_x
_atom_site_fract_y
_atom_site_fract_z
Tb1 Tb 0.000 0.500 0.250
Nd1 Nd 0.000 0.000 0.000
Tm1 Tm 0.000 0.000 0.500
```

Formation energy from the elements ... 25 meV/atom
DOS at the Fermi energy ... 1.609 states/eV/atom

(12)
A plane-wave DFT calculation with PBE was carried out for a relaxed structure of TbNd7Tm3.

```
data_TbNd7Tm3
_symmetry_space_group_name_H-M 'P -1'
_symmetry_Int_Tables_number 2
_symmetry_space_group_name_Hall '-P 1'
_cell_length_a 7.197
_cell_length_b 10.276
_cell_length_c 12.500
_cell_angle_alpha 66.25
_cell_angle_beta 73.31
_cell_angle_gamma 69.52
loop_
_atom_site_label
_atom_site_type_symbol
_atom_site_fract_x
_atom_site_fract_y
_atom_site_fract_z
Tb1 Tb 0.000 0.000 0.000
Tb2 Tb 0.000 0.500 0.500
Nd1 Nd 0.080 0.307 0.029
Nd2 Nd 0.081 0.807 0.526
Nd3 Nd 0.221 0.250 0.750
Nd4 Nd 0.334 0.046 0.273
Nd5 Nd 0.346 0.546 0.773
Nd6 Nd 0.414 0.693 0.974
Nd7 Nd 0.416 0.193 0.471
Tm1 Tm 0.167 0.434 0.225
Tm2 Tm 0.174 0.934 0.725
Tm3 Tm 0.500 0.000 0.000
Tm4 Tm 0.500 0.500 0.500
```

Formation energy from the elements ... 182 meV/atom
DOS at the Fermi energy ... 1.513 states/eV/atom

Which of these has the lowest formation energy from the elements?
TbNd6Tm5

Copy entry 7 word for word.
A plane-wave DFT calculation with PBE was carried out for a relaxed structure of Tb2Nd3Tm5.

```
data_Tb2Nd3Tm5
_symmetry_space_group_name_H-M 'C 1 2/c 1'
_symmetry_Int_Tables_number 15
_symmetry_space_group_name_Hall '-C 2yc'
_cell_length_a 10.605
_cell_length_b 15.950
_cell_length_c 9.370
_cell_angle_alpha 90.00
_cell_angle_beta 124.42
_cell_angle_gamma 90.00
loop_
_atom_site_label
_atom_site_type_symbol
_atom_site_fract_x
_atom_site_fract_y
_atom_site_fract_z
Tb1 Tb 0.150 0.118 0.048
Nd1 Nd 0.000 0.265 0.750
Nd2 Nd 0.147 0.376 0.547
Tm1 Tm 0.000 0.028 0.250
Tm2 Tm 0.000 0.228 0.250
Tm3 Tm 0.000 0.474 0.750
Tm4 Tm 0.244 0.112 0.737
```

Formation energy from the elements ... 191 meV/atom
DOS at the Fermi energy ... 1.706 states/eV/atom

What is the formula in the twelfth record?
TbNd7Tm3

Please write out number 7 again, unchanged.
A plane-wave DFT calculation with PBE was carried out for a relaxed structure of Tb2Nd3Tm5.

```
data_Tb2Nd3Tm5
_symmetry_space_group_name_H-M 'C 1 2/c 1'
_symmetry_Int_Tables_number 15
_symmetry_space_group_name_Hall '-C 2yc'
_cell_length_a 10.605
_cell_length_b 15.950
_cell_length_c 9.370
_cell_angle_alpha 90.00
_cell_angle_beta 124.42
_cell_angle_gamma 90.00
loop_
_atom_site_label
_atom_site_type_symbol
_atom_site_fract_x
_atom_site_fract_y
_atom_site_fract_z
Tb1 Tb 0.150 0.118 0.048
Nd1 Nd 0.000 0.265 0.750
Nd2 Nd 0.147 0.376 0.547
Tm1 Tm 0.000 0.028 0.250
Tm2 Tm 0.000 0.228 0.250
Tm3 Tm 0.000 0.474 0.750
Tm4 Tm 0.244 0.112 0.737
```

Formation energy from the elements ... 191 meV/atom
DOS at the Fermi energy ... 1.706 states/eV/atom